Below is crystalline Rb2MnO3 at its relaxed geometry, with properties calculated at the GGA+U level.

Calculated values
The value obtained for the spin magnetization is 12.00 μB per cell. Its space group is Cmce. The calculation puts the uncorrected energy at -131.501 eV for the cell shown.

a = 6.713 Å, b = 6.713 Å, c = 13.489 Å
α = 90.00°, β = 90.00°, γ = 126.92°
Positions (direct):
1 Rb 0.061 0.939 0.862
2 Rb 0.136 0.864 0.422
3 Rb 0.364 0.636 0.922
4 Rb 0.439 0.561 0.362
5 Rb 0.561 0.439 0.638
6 Rb 0.636 0.364 0.078
7 Rb 0.864 0.136 0.578
8 Rb 0.939 0.061 0.138
9 Mn 0.240 0.760 0.668
10 Mn 0.260 0.740 0.168
11 Mn 0.740 0.260 0.832
12 Mn 0.760 0.240 0.332
13 O 0.014 0.486 0.750
14 O 0.099 0.901 0.634
15 O 0.168 0.832 0.067
16 O 0.332 0.668 0.567
17 O 0.401 0.599 0.134
18 O 0.486 0.014 0.250
19 O 0.514 0.986 0.750
20 O 0.599 0.401 0.866
21 O 0.668 0.332 0.433
22 O 0.832 0.168 0.933
23 O 0.901 0.099 0.366
24 O 0.986 0.514 0.250